{
  "formula": "MgMn3Fe",
  "functional": "PBE-GGA",
  "state": "relaxed",
  "lattice": [[4.337, 0.000, 0.000], [0.000, 4.337, 0.000], [0.000, 0.000, 4.337]],
  "species": ["Mg", "Mn", "Mn", "Mn", "Fe"],
  "frac_coords": [[0.500, 0.500, 0.500], [0.000, 0.500, 0.000], [0.000, 0.000, 0.500], [0.500, 0.000, 0.000], [0.000, 0.000, 0.000]],
  "space_group": "Pm-3m",
  "dos_ef_per_ev_atom": 1.553,
  "relative_energy_kj_per_mol_atoms": 0.00,
  "magmom_total_mub_per_atom": 1.374,
  "formation_energy_mev_per_atom": 844,
  "total_energy_ev_per_atom": -6.669
}